Record 1
{"formula": "Zr2ScCd", "functional": "GGA-PBE", "state": "optimized geometry", "spacegroup": "I4/mmm (139)", "volume_a3_per_atom": 22.300, "total_energy_ev_per_cell": -24.65, "m_tot_mub_per_fu": 0.00, "formation_energy_ev_per_atom": -0.076, "lattice_angstrom": [[-2.174, 2.174, 4.720], [2.174, -2.174, 4.720], [2.174, 2.174, -4.720]], "species": ["Zr", "Zr", "Sc", "Cd"], "fractional_positions": [[0.250, 0.750, 0.500], [0.750, 0.250, 0.500], [0.000, 0.000, 0.000], [0.500, 0.500, 0.000]]}

Record 2
{"formula": "RbAlGa2Tc", "functional": "GGA-PBE", "state": "optimized geometry", "spacegroup": "P4/mmm (123)", "volume_a3_per_atom": 24.239, "total_energy_ev_per_cell": -21.54, "m_tot_mub_per_fu": 0.00, "formation_energy_ev_per_atom": -0.081, "lattice_angstrom": [[4.972, 0.000, 0.000], [0.000, 4.972, 0.000], [0.000, 0.000, 4.902]], "species": ["Rb", "Al", "Ga", "Ga", "Tc"], "fractional_positions": [[0.000, 0.000, 0.000], [0.500, 0.500, 0.000], [0.000, 0.500, 0.500], [0.500, 0.000, 0.500], [0.500, 0.500, 0.500]]}

Record 3
{"formula": "Sr3In2Sn2", "functional": "GGA-PBE", "state": "optimized geometry", "spacegroup": "C2/m (12)", "volume_a3_per_atom": 34.386, "total_energy_ev_per_cell": -22.21, "m_tot_mub_per_fu": 0.00, "formation_energy_ev_per_atom": -0.526, "lattice_angstrom": [[6.148, -2.485, 0.000], [6.148, 2.485, 0.000], [-3.307, 0.000, 7.878]], "species": ["Sr", "Sr", "Sr", "In", "In", "Sn", "Sn"], "fractional_positions": [[0.000, 0.000, 0.000], [0.174, 0.174, 0.629], [0.826, 0.826, 0.371], [0.311, 0.311, 0.064], [0.689, 0.689, 0.936], [0.463, 0.463, 0.655], [0.537, 0.537, 0.345]]}

Record 4
{"formula": "SrTa2Ge2", "functional": "GGA-PBE", "state": "optimized geometry", "spacegroup": "I4/mmm (139)", "volume_a3_per_atom": 22.619, "total_energy_ev_per_cell": -34.02, "m_tot_mub_per_fu": 0.00, "formation_energy_ev_per_atom": 0.120, "lattice_angstrom": [[-2.496, 2.496, 4.539], [2.496, -2.496, 4.539], [2.496, 2.496, -4.539]], "species": ["Sr", "Ta", "Ta", "Ge", "Ge"], "fractional_positions": [[0.000, 0.000, 0.000], [0.352, 0.352, 0.000], [0.648, 0.648, 0.000], [0.250, 0.750, 0.500], [0.750, 0.250, 0.500]]}

Record 5
{"formula": "BaCdSn2Hg", "functional": "GGA-PBE", "state": "optimized geometry", "spacegroup": "I-4m2 (119)", "volume_a3_per_atom": 30.690, "total_energy_ev_per_cell": -13.10, "m_tot_mub_per_fu": 0.00, "formation_energy_ev_per_atom": -0.391, "lattice_angstrom": [[-2.531, 2.531, 5.987], [2.531, -2.531, 5.987], [2.531, 2.531, -5.987]], "species": ["Ba", "Cd", "Sn", "Sn", "Hg"], "fractional_positions": [[0.000, 0.000, 0.000], [0.750, 0.250, 0.500], [0.380, 0.380, 0.000], [0.620, 0.620, 0.000], [0.250, 0.750, 0.500]]}

Record 6
{"formula": "La6SnSb", "functional": "GGA-PBE", "state": "optimized geometry", "spacegroup": "P4/mmm (123)", "volume_a3_per_atom": 31.571, "raw_formation_energy_kj_per_mol_atoms": -54, "total_energy_ev_per_cell": -42.20, "m_tot_mub_per_fu": 0.00, "lattice_angstrom": [[5.019, 0.000, 0.000], [0.000, 5.019, 0.000], [0.000, 0.000, 10.027]], "species": ["La", "La", "La", "La", "La", "La", "Sn", "Sb"], "fractional_positions": [[0.000, 0.000, 0.000], [0.000, 0.000, 0.500], [0.000, 0.500, 0.249], [0.000, 0.500, 0.751], [0.500, 0.000, 0.249], [0.500, 0.000, 0.751], [0.500, 0.500, 0.500], [0.500, 0.500, 0.000]]}